# 1
Entry from the Alexandria database: PmDyAu after structural relaxation (GGA-PBE).

Structure (extended XYZ):
```
12
Lattice="7.108 0.000 0.000 0.000 5.064 0.000 0.000 0.000 9.183" Properties=species:S:1:pos:R:3 pbc="T T T"
Pm 1.078 1.266 0.781
Pm 2.476 3.798 5.373
Pm 4.632 1.266 3.811
Pm 6.030 3.798 8.402
Dy 0.059 1.266 6.197
Dy 3.495 3.798 1.606
Dy 3.613 1.266 7.578
Dy 7.049 3.798 2.986
Au 1.640 1.266 3.710
Au 1.914 3.798 8.302
Au 5.194 1.266 0.881
Au 5.468 3.798 5.473
```

Results
Distance to the lowest polymorph of the same formula, meV per atom: 0.0
Theoretical density, g/cm³: 10.14
N(E_F), states/eV/cell: 12.12
Space group: No. 62
ΔH_f (0 K), eV/atom: -0.59

=====

# 2
Entry from the Alexandria database: Pm2Dy2Au3 after structural relaxation (GGA-PBE).

Structure (extended XYZ):
```
14
Lattice="-4.524 4.524 4.524 4.524 -4.524 4.524 4.524 4.524 -4.524" Properties=species:S:1:pos:R:3 pbc="T T T"
Pm 3.872 0.652 -0.652
Pm 0.652 0.652 0.652
Pm 0.652 -0.652 3.872
Pm -0.652 3.872 0.652
Dy 6.167 -1.642 1.642
Dy 1.642 6.167 -1.642
Dy 2.882 2.882 2.882
Dy -1.642 1.642 6.167
Au 6.786 1.035 0.000
Au 3.489 0.000 2.262
Au 2.262 3.489 0.000
Au 0.000 2.262 3.489
Au 1.035 0.000 6.786
Au 0.000 6.786 1.035
```

Results
Theoretical density, g/cm³: 10.81
N(E_F), states/eV/cell: 18.01
Space group: No. 199
ΔH_f (0 K), eV/atom: -0.64

=====

# 3
Entry from the Alexandria database: Pm2DyAu4 after structural relaxation (GGA-PBE).

Structure (extended XYZ):
```
14
Lattice="5.318 0.000 0.000 0.000 5.318 0.000 0.000 0.000 15.057" Properties=species:S:1:pos:R:3 pbc="T T T"
Pm 0.000 0.000 1.804
Pm 0.000 0.000 13.252
Pm 2.659 2.659 5.724
Pm 2.659 2.659 9.333
Dy 0.000 0.000 7.528
Dy 2.659 2.659 0.000
Au 0.000 0.000 4.722
Au 0.000 0.000 10.335
Au 0.000 2.659 0.000
Au 0.000 2.659 7.528
Au 2.659 0.000 0.000
Au 2.659 0.000 7.528
Au 2.659 2.659 2.806
Au 2.659 2.659 12.250
```

Results
Distance to the lowest polymorph of the same formula, meV per atom: 375.9
Theoretical density, g/cm³: 9.67
N(E_F), states/eV/cell: 10.74
Space group: No. 139
ΔH_f (0 K), eV/atom: -0.30

=====

# 4
Entry from the Alexandria database: Pm2Dy3Au4 after structural relaxation (GGA-PBE).

Structure (extended XYZ):
```
18
Lattice="3.529 -8.884 0.000 3.529 8.884 0.000 0.000 0.000 7.544" Properties=species:S:1:pos:R:3 pbc="T T T"
Pm 3.529 7.176 6.942
Pm 3.529 1.708 3.170
Pm 3.529 -1.708 4.374
Pm 3.529 -7.176 0.602
Dy 0.000 0.000 3.772
Dy 1.764 4.192 5.658
Dy 1.764 -4.192 1.886
Dy 3.529 0.000 0.000
Dy 5.293 4.192 5.658
Dy 5.293 -4.192 1.886
Au 3.529 5.900 4.011
Au 1.764 1.190 5.658
Au 1.764 -1.190 1.886
Au 3.529 2.984 0.239
Au 3.529 -2.984 7.305
Au 5.293 1.190 5.658
Au 5.293 -1.190 1.886
Au 3.529 -5.900 3.533
```

Results
Theoretical density, g/cm³: 10.99
N(E_F), states/eV/cell: 19.43
Space group: No. 64
ΔH_f (0 K), eV/atom: -0.67

=====

# 5
Entry from the Alexandria database: PmDy2Au after structural relaxation (GGA-PBE).

Structure (extended XYZ):
```
4
Lattice="3.635 0.000 0.000 0.000 3.635 0.000 0.000 0.000 8.567" Properties=species:S:1:pos:R:3 pbc="T T T"
Pm 0.000 0.000 0.000
Dy 1.817 1.817 2.547
Dy 1.817 1.817 6.020
Au 0.000 0.000 4.283
```

Results
Distance to the lowest polymorph of the same formula, meV per atom: 27.6
Theoretical density, g/cm³: 9.79
N(E_F), states/eV/cell: 5.69
Space group: No. 123
ΔH_f (0 K), eV/atom: -0.40

=====

# 6
Entry from the Alexandria database: PmDy2Au after structural relaxation (GGA-PBE).

Structure (extended XYZ):
```
4
Lattice="4.758 0.000 0.000 0.000 4.758 0.000 0.000 0.000 4.766" Properties=species:S:1:pos:R:3 pbc="T T T"
Pm 0.000 0.000 0.000
Dy 0.000 2.379 2.383
Dy 2.379 0.000 2.383
Au 2.379 2.379 0.000
```

Results
Distance to the lowest polymorph of the same formula, meV per atom: 196.6
Theoretical density, g/cm³: 10.26
N(E_F), states/eV/cell: 5.56
Space group: No. 123
ΔH_f (0 K), eV/atom: -0.23

=====

# 7
Entry from the Alexandria database: Pm5DyAu6 after structural relaxation (GGA-PBE).

Structure (extended XYZ):
```
12
Lattice="8.254 -3.652 0.000 8.254 3.652 0.000 -1.641 0.000 4.951" Properties=species:S:1:pos:R:3 pbc="T T T"
Pm 0.000 0.000 0.000
Pm 1.638 0.000 3.296
Pm 4.927 0.000 1.644
Pm 9.939 0.000 3.308
Pm 13.228 0.000 1.656
Dy 8.254 0.000 0.000
Au 4.195 1.777 4.149
Au 7.433 1.730 2.476
Au 10.671 1.777 0.803
Au 4.195 -1.777 4.149
Au 7.433 -1.730 2.476
Au 10.671 -1.777 0.803
```

Results
Theoretical density, g/cm³: 11.51
N(E_F), states/eV/cell: 8.28
Space group: No. 12
ΔH_f (0 K), eV/atom: -0.80

=====

# 8
Entry from the Alexandria database: Pm3DyAu4 after structural relaxation (GGA-PBE).

Structure (extended XYZ):
```
16
Lattice="3.909 0.000 0.000 0.000 7.076 0.000 0.000 0.000 15.867" Properties=species:S:1:pos:R:3 pbc="T T T"
Pm 0.000 0.000 0.000
Pm 0.000 3.538 3.237
Pm 0.000 3.538 12.629
Pm 1.954 0.000 4.696
Pm 1.954 0.000 11.171
Pm 1.954 3.538 7.933
Dy 0.000 0.000 7.933
Dy 1.954 3.538 0.000
Au 0.000 2.085 5.905
Au 0.000 2.085 9.962
Au 0.000 4.991 5.905
Au 0.000 4.991 9.962
Au 1.954 1.453 2.029
Au 1.954 1.453 13.838
Au 1.954 5.623 2.029
Au 1.954 5.623 13.838
```

Results
Distance to the lowest polymorph of the same formula, meV per atom: 153.1
Theoretical density, g/cm³: 10.48
N(E_F), states/eV/cell: 15.95
Space group: No. 71
ΔH_f (0 K), eV/atom: -0.65

=====

# 9
Entry from the Alexandria database: Pm3DyAu4 after structural relaxation (GGA-PBE).

Structure (extended XYZ):
```
8
Lattice="3.660 0.000 0.000 0.000 3.660 0.000 0.000 0.000 14.730" Properties=species:S:1:pos:R:3 pbc="T T T"
Pm 0.000 0.000 0.000
Pm 0.000 0.000 3.725
Pm 0.000 0.000 11.006
Dy 0.000 0.000 7.365
Au 1.830 1.830 1.850
Au 1.830 1.830 5.658
Au 1.830 1.830 9.072
Au 1.830 1.830 12.880
```

Results
Distance to the lowest polymorph of the same formula, meV per atom: 0.0
Theoretical density, g/cm³: 11.66
N(E_F), states/eV/cell: 4.56
Space group: No. 123
ΔH_f (0 K), eV/atom: -0.80

=====

# 10
Entry from the Alexandria database: PmDy2Au after structural relaxation (GGA-PBE).

Structure (extended XYZ):
```
12
Lattice="3.771 0.000 0.000 -1.886 3.266 0.000 0.000 0.000 29.509" Properties=species:S:1:pos:R:3 pbc="T T T"
Pm 0.000 0.000 0.000
Pm 0.000 2.177 19.673
Pm 1.886 1.089 9.836
Dy 0.000 0.000 16.729
Dy 0.000 0.000 22.557
Dy 0.000 2.177 6.892
Dy 0.000 2.177 12.720
Dy 1.886 1.089 2.884
Dy 1.886 1.089 26.565
Au 0.000 0.000 4.868
Au 0.000 2.177 24.541
Au 1.886 1.089 14.705
```

Results
Distance to the lowest polymorph of the same formula, meV per atom: 141.0
Theoretical density, g/cm³: 9.14
N(E_F), states/eV/cell: 15.27
Space group: No. 160
ΔH_f (0 K), eV/atom: -0.29

=====

# 11
Entry from the Alexandria database: PmDyAu after structural relaxation (GGA-PBE).

Structure (extended XYZ):
```
6
Lattice="3.875 0.000 0.000 1.932 6.431 0.000 1.935 1.488 6.796" Properties=species:S:1:pos:R:3 pbc="T T T"
Pm 0.969 1.364 0.815
Pm 6.773 6.555 5.981
Dy 2.903 2.437 3.823
Dy 4.839 5.482 2.973
Au 2.901 4.013 1.305
Au 4.842 3.906 5.491
```

Results
Distance to the lowest polymorph of the same formula, meV per atom: 33.2
Theoretical density, g/cm³: 9.89
N(E_F), states/eV/cell: 5.75
Space group: No. 2
ΔH_f (0 K), eV/atom: -0.55

=====

# 12
Entry from the Alexandria database: PmDyPtAu after structural relaxation (GGA-PBE).

Structure (extended XYZ):
```
8
Lattice="4.646 0.000 0.000 0.000 3.836 0.000 0.000 0.000 10.800" Properties=species:S:1:pos:R:3 pbc="T T T"
Pm 0.000 0.000 0.000
Pm 0.000 1.918 5.400
Dy 2.323 0.000 2.978
Dy 2.323 1.918 8.378
Pt 0.000 0.000 7.869
Pt 0.000 1.918 2.468
Au 2.323 0.000 5.981
Au 2.323 1.918 0.580
```

Results
Distance to the lowest polymorph of the same formula, meV per atom: 0.0
Theoretical density, g/cm³: 12.07
N(E_F), states/eV/cell: 4.72
Space group: No. 38
ΔH_f (0 K), eV/atom: -1.04

=====

# 13
Entry from the Alexandria database: PmDyPtAu after structural relaxation (GGA-PBE).

Structure (extended XYZ):
```
16
Lattice="7.187 0.000 0.000 0.000 7.187 0.000 0.000 0.000 7.187" Properties=species:S:1:pos:R:3 pbc="T T T"
Pm 0.000 0.000 0.000
Pm 0.000 3.593 3.593
Pm 3.593 0.000 3.593
Pm 3.593 3.593 0.000
Dy 0.000 0.000 3.593
Dy 0.000 3.593 0.000
Dy 3.593 0.000 0.000
Dy 3.593 3.593 3.593
Pt 1.797 1.797 1.797
Pt 1.797 5.390 5.390
Pt 5.390 1.797 5.390
Pt 5.390 5.390 1.797
Au 1.797 1.797 5.390
Au 1.797 5.390 1.797
Au 5.390 1.797 1.797
Au 5.390 5.390 5.390
```

Results
Distance to the lowest polymorph of the same formula, meV per atom: 58.0
Theoretical density, g/cm³: 12.52
N(E_F), states/eV/cell: 10.55
Space group: No. 216
ΔH_f (0 K), eV/atom: -0.98